# RbNa3Be4Br12 (GGA-PBE, optimized geometry)
data_RbNa3Be4Br12
_chemical_formula_sum 'Rb3 Na9 Be12 Br36'
_cell_length_a 14.2995
_cell_length_b 14.2995
_cell_length_c 11.7538
_cell_angle_alpha 90.00
_cell_angle_beta 90.00
_cell_angle_gamma 120.00
_space_group_name_H-M_alt 'R 3 2'
_space_group_IT_number 155
_space_group_name_Hall 'R 3 2"'
loop_
_atom_site_label
_atom_site_fract_x
_atom_site_fract_y
_atom_site_fract_z
Rb1 0.0000 0.0000 0.0000
Na1 0.0000 0.5462 0.0000
Be1 0.0000 0.0000 0.5000
Be2 0.0000 0.4479 0.5000
Br1 0.0000 0.5943 0.5000
Br2 0.0000 0.8542 0.5000
Br3 0.0297 0.2159 0.1740
# spin magnetization	0.000	μB/atom
# raw formation energy	-1212	meV/atom